<1>
Here is crystalline DyHo3Ir3 at its relaxed geometry from the Alexandria database. Energies are from GGA-PBE. Values from VASP.

```
&SYSTEM
  ibrav = 0, nat = 7, ntyp = 3
/
ATOMIC_SPECIES
Dy 162.50 Dy.upf
Ho 164.93 Ho.upf
Ir 192.22 Ir.upf
ATOMIC_POSITIONS crystal
Dy 0.000 0.000 0.000
Ho 0.000 0.500 0.500
Ho 0.500 0.000 0.500
Ho 0.500 0.500 0.000
Ir 0.000 0.000 0.500
Ir 0.000 0.500 0.000
Ir 0.500 0.000 0.000
CELL_PARAMETERS angstrom
4.820 2.783 1.963
-4.820 2.783 1.963
0.000 -5.565 1.963
```

Values from the calculation:
D(E_F)   5.984 states/eV per cell
Calculated volume   157.9 Å³ per cell

<2>
Here is crystalline DyHo3Ir3 at its relaxed geometry from the Alexandria database. Energies are from GGA-PBE. Values from VASP.

```
&SYSTEM
  ibrav = 0, nat = 14, ntyp = 3
/
ATOMIC_SPECIES
Dy 162.50 Dy.upf
Ho 164.93 Ho.upf
Ir 192.22 Ir.upf
ATOMIC_POSITIONS crystal
Dy 0.248 0.248 0.000
Dy 0.752 0.752 0.000
Ho 0.243 0.757 0.000
Ho 0.245 0.245 0.500
Ho 0.245 0.755 0.500
Ho 0.755 0.245 0.500
Ho 0.755 0.755 0.500
Ho 0.757 0.243 0.000
Ir 0.000 0.000 0.250
Ir 0.000 0.000 0.750
Ir 0.000 0.500 0.251
Ir 0.000 0.500 0.749
Ir 0.500 0.000 0.251
Ir 0.500 0.000 0.749
CELL_PARAMETERS angstrom
4.914 -4.940 0.000
4.914 4.940 0.000
0.000 0.000 6.574
```

Values from the calculation:
D(E_F)   5.358 states/eV per cell
Calculated volume   319.2 Å³ per cell

Verdict on stability: <1> comes out on top.

<1>
Here is crystalline Dy2HoIr2 at its relaxed geometry from the Alexandria database. Energies are from GGA-PBE. Values from VASP.

```
&SYSTEM
  ibrav = 0, nat = 10, ntyp = 3
/
ATOMIC_SPECIES
Dy 162.50 Dy.upf
Ho 164.93 Ho.upf
Ir 192.22 Ir.upf
ATOMIC_POSITIONS crystal
Dy 0.250 0.250 0.000
Dy 0.250 0.250 0.333
Dy 0.750 0.750 0.000
Dy 0.750 0.750 0.667
Ho 0.250 0.250 0.666
Ho 0.750 0.750 0.334
Ir 0.250 0.750 0.162
Ir 0.250 0.750 0.505
Ir 0.750 0.250 0.495
Ir 0.750 0.250 0.838
CELL_PARAMETERS angstrom
4.789 0.000 0.000
0.000 4.796 0.000
0.000 0.000 10.301
```

Values from the calculation:
D(E_F)   7.038 states/eV per cell
Calculated volume   236.6 Å³ per cell

<2>
Here is crystalline Dy2HoIr2 at its relaxed geometry from the Alexandria database. Energies are from GGA-PBE. Values from VASP.

```
&SYSTEM
  ibrav = 0, nat = 10, ntyp = 3
/
ATOMIC_SPECIES
Dy 162.50 Dy.upf
Ho 164.93 Ho.upf
Ir 192.22 Ir.upf
ATOMIC_POSITIONS crystal
Dy 0.032 0.968 0.500
Dy 0.189 0.811 0.219
Dy 0.811 0.189 0.719
Dy 0.968 0.032 0.000
Ho 0.380 0.620 0.332
Ho 0.620 0.380 0.832
Ir 0.194 0.806 0.626
Ir 0.447 0.553 0.700
Ir 0.553 0.447 0.200
Ir 0.806 0.194 0.126
CELL_PARAMETERS angstrom
1.995 -8.396 0.000
1.995 8.396 0.000
0.000 0.000 7.225
```

Values from the calculation:
D(E_F)   4.461 states/eV per cell
Calculated volume   242.1 Å³ per cell

Verdict on stability: <1> comes out on top.

<1>
Here is crystalline DyHoIrPt at its relaxed geometry from the Alexandria database. Energies are from GGA-PBE. Values from VASP.

```
&SYSTEM
  ibrav = 0, nat = 4, ntyp = 4
/
ATOMIC_SPECIES
Dy 162.50 Dy.upf
Ho 164.93 Ho.upf
Ir 192.22 Ir.upf
Pt 195.08 Pt.upf
ATOMIC_POSITIONS crystal
Dy 0.000 0.000 0.000
Ho 0.500 0.500 0.500
Ir 0.750 0.750 0.750
Pt 0.250 0.250 0.250
CELL_PARAMETERS angstrom
0.000 3.451 3.451
3.451 0.000 3.451
3.451 3.451 0.000
```

Values from the calculation:
D(E_F)   1.676 states/eV per cell
Calculated volume   82.2 Å³ per cell

<2>
Here is crystalline DyHoIrPt at its relaxed geometry from the Alexandria database. Energies are from GGA-PBE. Values from VASP.

```
&SYSTEM
  ibrav = 0, nat = 4, ntyp = 4
/
ATOMIC_SPECIES
Dy 162.50 Dy.upf
Ho 164.93 Ho.upf
Ir 192.22 Ir.upf
Pt 195.08 Pt.upf
ATOMIC_POSITIONS crystal
Dy 0.000 0.000 0.000
Ho 0.000 0.000 0.515
Ir 0.500 0.500 0.756
Pt 0.500 0.500 0.260
CELL_PARAMETERS angstrom
3.448 0.000 0.000
0.000 3.448 0.000
0.000 0.000 6.920
```

Values from the calculation:
D(E_F)   1.538 states/eV per cell
Calculated volume   82.3 Å³ per cell

Verdict on stability: <2> comes out on top.

<1>
Here is crystalline LaDy6Ho4 at its relaxed geometry from the Alexandria database. Energies are from GGA-PBE. Values from VASP.

```
&SYSTEM
  ibrav = 0, nat = 11, ntyp = 3
/
ATOMIC_SPECIES
La 138.91 La.upf
Dy 162.50 Dy.upf
Ho 164.93 Ho.upf
ATOMIC_POSITIONS crystal
La 0.000 0.000 0.000
Dy 0.000 0.500 0.500
Dy 0.062 0.563 0.000
Dy 0.437 0.437 0.499
Dy 0.500 0.000 0.500
Dy 0.563 0.062 0.000
Dy 0.938 0.938 0.501
Ho 0.261 0.261 0.673
Ho 0.413 0.739 0.000
Ho 0.587 0.587 0.327
Ho 0.739 0.413 0.000
CELL_PARAMETERS angstrom
-3.845 3.845 6.473
3.845 -3.845 6.473
3.845 3.845 -6.473
```

Values from the calculation:
D(E_F)   16.179 states/eV per cell
Calculated volume   382.7 Å³ per cell

<2>
Here is crystalline LaDy6Ho4 at its relaxed geometry from the Alexandria database. Energies are from GGA-PBE. Values from VASP.

```
&SYSTEM
  ibrav = 0, nat = 22, ntyp = 3
/
ATOMIC_SPECIES
La 138.91 La.upf
Dy 162.50 Dy.upf
Ho 164.93 Ho.upf
ATOMIC_POSITIONS crystal
La 0.193 0.807 0.750
La 0.807 0.193 0.250
Dy 0.137 0.863 0.180
Dy 0.137 0.863 0.320
Dy 0.194 0.806 0.600
Dy 0.194 0.806 0.900
Dy 0.472 0.528 0.250
Dy 0.500 0.500 0.000
Dy 0.500 0.500 0.500
Dy 0.528 0.472 0.750
Dy 0.806 0.194 0.100
Dy 0.806 0.194 0.400
Dy 0.863 0.137 0.680
Dy 0.863 0.137 0.820
Ho 0.155 0.845 0.042
Ho 0.155 0.845 0.458
Ho 0.466 0.534 0.122
Ho 0.466 0.534 0.378
Ho 0.534 0.466 0.622
Ho 0.534 0.466 0.878
Ho 0.845 0.155 0.542
Ho 0.845 0.155 0.958
CELL_PARAMETERS angstrom
2.868 -4.806 0.000
2.868 4.806 0.000
0.000 0.000 25.678
```

Values from the calculation:
D(E_F)   40.916 states/eV per cell
Calculated volume   708.0 Å³ per cell

Verdict on stability: <2> comes out on top.

<1>
Here is crystalline LaDy7Ho12 at its relaxed geometry from the Alexandria database. Energies are from GGA-PBE. Values from VASP.

```
&SYSTEM
  ibrav = 0, nat = 20, ntyp = 3
/
ATOMIC_SPECIES
La 138.91 La.upf
Dy 162.50 Dy.upf
Ho 164.93 Ho.upf
ATOMIC_POSITIONS crystal
La 0.000 0.000 0.000
Dy 0.002 0.876 0.370
Dy 0.124 0.630 0.998
Dy 0.370 0.002 0.876
Dy 0.500 0.500 0.500
Dy 0.630 0.998 0.124
Dy 0.876 0.370 0.002
Dy 0.998 0.124 0.630
Ho 0.107 0.434 0.346
Ho 0.233 0.355 0.763
Ho 0.237 0.767 0.645
Ho 0.346 0.107 0.434
Ho 0.355 0.763 0.233
Ho 0.434 0.346 0.107
Ho 0.566 0.654 0.893
Ho 0.645 0.237 0.767
Ho 0.654 0.893 0.566
Ho 0.763 0.233 0.355
Ho 0.767 0.645 0.237
Ho 0.893 0.566 0.654
CELL_PARAMETERS angstrom
5.996 3.462 5.248
-5.996 3.462 5.248
0.000 -6.924 5.248
```

Values from the calculation:
D(E_F)   34.670 states/eV per cell
Calculated volume   653.6 Å³ per cell

<2>
Here is crystalline LaDy7Ho12 at its relaxed geometry from the Alexandria database. Energies are from GGA-PBE. Values from VASP.

```
&SYSTEM
  ibrav = 0, nat = 20, ntyp = 3
/
ATOMIC_SPECIES
La 138.91 La.upf
Dy 162.50 Dy.upf
Ho 164.93 Ho.upf
ATOMIC_POSITIONS crystal
La 0.000 0.000 0.000
Dy 0.000 0.000 0.500
Dy 0.000 0.500 0.000
Dy 0.000 0.500 0.500
Dy 0.500 0.000 0.000
Dy 0.500 0.000 0.500
Dy 0.500 0.500 0.000
Dy 0.500 0.500 0.500
Ho 0.000 0.257 0.743
Ho 0.000 0.743 0.257
Ho 0.257 0.000 0.743
Ho 0.257 0.257 0.515
Ho 0.257 0.515 0.257
Ho 0.257 0.743 0.000
Ho 0.485 0.743 0.743
Ho 0.515 0.257 0.257
Ho 0.743 0.000 0.257
Ho 0.743 0.257 0.000
Ho 0.743 0.485 0.743
Ho 0.743 0.743 0.485
CELL_PARAMETERS angstrom
-5.627 5.627 5.627
5.627 -5.627 5.627
5.627 5.627 -5.627
```

Values from the calculation:
D(E_F)   25.216 states/eV per cell
Calculated volume   712.5 Å³ per cell

Verdict on stability: <1> comes out on top.

<1>
Here is crystalline La2DyHo3 at its relaxed geometry from the Alexandria database. Energies are from GGA-PBE. Values from VASP.

```
&SYSTEM
  ibrav = 0, nat = 12, ntyp = 3
/
ATOMIC_SPECIES
La 138.91 La.upf
Dy 162.50 Dy.upf
Ho 164.93 Ho.upf
ATOMIC_POSITIONS crystal
La 0.125 0.625 0.875
La 0.375 0.875 0.625
La 0.625 0.125 0.375
La 0.875 0.375 0.125
Dy 0.084 0.916 0.250
Dy 0.916 0.084 0.750
Ho 0.167 0.333 0.500
Ho 0.333 0.167 0.000
Ho 0.417 0.583 0.250
Ho 0.583 0.417 0.750
Ho 0.667 0.833 0.000
Ho 0.833 0.667 0.500
CELL_PARAMETERS angstrom
4.516 -4.956 0.000
4.516 4.956 0.000
-1.799 0.000 8.887
```

Values from the calculation:
D(E_F)   18.844 states/eV per cell
Calculated volume   397.9 Å³ per cell

<2>
Here is crystalline La2DyHo3 at its relaxed geometry from the Alexandria database. Energies are from GGA-PBE. Values from VASP.

```
&SYSTEM
  ibrav = 0, nat = 12, ntyp = 3
/
ATOMIC_SPECIES
La 138.91 La.upf
Dy 162.50 Dy.upf
Ho 164.93 Ho.upf
ATOMIC_POSITIONS crystal
La 0.013 0.013 0.367
La 0.275 0.275 0.634
La 0.725 0.725 0.366
La 0.987 0.987 0.633
Dy 0.364 0.364 0.351
Dy 0.636 0.636 0.649
Ho 0.111 0.111 0.151
Ho 0.204 0.204 0.921
Ho 0.448 0.448 0.099
Ho 0.552 0.552 0.901
Ho 0.796 0.796 0.079
Ho 0.889 0.889 0.849
CELL_PARAMETERS angstrom
8.537 -2.799 0.000
8.537 2.799 0.000
-5.836 0.000 8.423
```

Values from the calculation:
D(E_F)   20.342 states/eV per cell
Calculated volume   402.5 Å³ per cell

Verdict on stability: <1> comes out on top.

<1>
Here is crystalline La2Dy3Ho4 at its relaxed geometry from the Alexandria database. Energies are from GGA-PBE. Values from VASP.

```
&SYSTEM
  ibrav = 0, nat = 9, ntyp = 3
/
ATOMIC_SPECIES
La 138.91 La.upf
Dy 162.50 Dy.upf
Ho 164.93 Ho.upf
ATOMIC_POSITIONS crystal
La 0.115 0.115 0.885
La 0.885 0.885 0.115
Dy 0.000 0.000 0.500
Dy 0.500 0.500 0.000
Dy 0.500 0.500 0.500
Ho 0.168 0.456 0.544
Ho 0.456 0.168 0.832
Ho 0.544 0.832 0.168
Ho 0.832 0.544 0.456
CELL_PARAMETERS angstrom
0.000 6.211 7.948
3.060 0.000 7.948
3.060 6.211 0.000
```

Values from the calculation:
D(E_F)   17.629 states/eV per cell
Calculated volume   302.2 Å³ per cell

<2>
Here is crystalline La2Dy3Ho4 at its relaxed geometry from the Alexandria database. Energies are from GGA-PBE. Values from VASP.

```
&SYSTEM
  ibrav = 0, nat = 9, ntyp = 3
/
ATOMIC_SPECIES
La 138.91 La.upf
Dy 162.50 Dy.upf
Ho 164.93 Ho.upf
ATOMIC_POSITIONS crystal
La 0.000 0.000 0.000
La 0.000 0.000 0.226
Dy 0.000 0.000 0.781
Dy 0.333 0.667 0.116
Dy 0.333 0.667 0.463
Ho 0.000 0.000 0.358
Ho 0.000 0.000 0.570
Ho 0.333 0.667 0.675
Ho 0.333 0.667 0.887
CELL_PARAMETERS angstrom
3.599 0.000 0.000
-1.800 3.117 0.000
0.000 0.000 26.469
```

Values from the calculation:
D(E_F)   16.272 states/eV per cell
Calculated volume   296.9 Å³ per cell

Verdict on stability: <2> comes out on top.

<1>
Here is crystalline LaDy3Ho4 at its relaxed geometry from the Alexandria database. Energies are from GGA-PBE. Values from VASP.

```
&SYSTEM
  ibrav = 0, nat = 16, ntyp = 3
/
ATOMIC_SPECIES
La 138.91 La.upf
Dy 162.50 Dy.upf
Ho 164.93 Ho.upf
ATOMIC_POSITIONS crystal
La 0.000 0.126 0.000
La 0.500 0.874 0.500
Dy 0.000 0.872 0.503
Dy 0.249 0.127 0.337
Dy 0.251 0.873 0.837
Dy 0.500 0.128 0.003
Dy 0.749 0.873 0.837
Dy 0.751 0.127 0.337
Ho 0.000 0.378 0.504
Ho 0.000 0.624 0.003
Ho 0.248 0.623 0.337
Ho 0.252 0.377 0.837
Ho 0.500 0.376 0.503
Ho 0.500 0.622 0.004
Ho 0.748 0.377 0.837
Ho 0.752 0.623 0.337
CELL_PARAMETERS angstrom
11.334 0.000 0.000
0.000 7.281 0.000
0.000 0.000 6.279
```

Values from the calculation:
D(E_F)   26.564 states/eV per cell
Calculated volume   518.2 Å³ per cell

<2>
Here is crystalline LaDy3Ho4 at its relaxed geometry from the Alexandria database. Energies are from GGA-PBE. Values from VASP.

```
&SYSTEM
  ibrav = 0, nat = 8, ntyp = 3
/
ATOMIC_SPECIES
La 138.91 La.upf
Dy 162.50 Dy.upf
Ho 164.93 Ho.upf
ATOMIC_POSITIONS crystal
La 0.000 0.000 0.000
Dy 0.243 0.743 0.500
Dy 0.500 0.500 0.000
Dy 0.757 0.257 0.500
Ho 0.117 0.865 0.252
Ho 0.387 0.135 0.252
Ho 0.613 0.865 0.748
Ho 0.883 0.135 0.748
CELL_PARAMETERS angstrom
-1.712 5.810 6.470
1.712 -5.810 6.470
1.712 5.810 -6.470
```

Values from the calculation:
D(E_F)   14.319 states/eV per cell
Calculated volume   257.4 Å³ per cell

Verdict on stability: <1> comes out on top.